{
  "formula": "Al2HgAsPt",
  "functional": "PBE",
  "state": "optimized geometry",
  "sg": "P4/mmm (123)",
  "n_ef_per_ev_fu": 2.782,
  "formation_enthalpy_0k_ev_per_atom": 0.103,
  "lattice_angstrom": [[4.726, 0.000, 0.000], [0.000, 5.292, 0.000], [0.000, 0.000, 4.726]],
  "species": ["As", "Hg", "Pt", "Al", "Al"],
  "frac_coords": [[0.500, 0.500, 0.500], [0.000, 0.500, 0.000], [0.000, 0.000, 0.000], [0.000, 0.000, 0.500], [0.500, 0.000, 0.000]]
}